DFT (PBE-GGA) results for an optimized crystal structure of Cs2ZnRhO4.

Summary:
SG	No. 70
final energy	-38.09	eV/f.u.
formation energy without anion corrections	-765	kJ/mol of formula units

abc: 5.6796 6.9654 10.8776
angles: 83.89 74.87 65.94
Closest atoms and distances in Å follow each position.
Fractional coordinates of all 16 atoms:
O  0.5379  0.3329  0.5796  1 Rh 1.94, 1 Zn 1.98
Cs  0.5743  0.5000  0.8514  4 O 3.20-3.37
O  0.8825  0.6671  0.5796  1 Rh 1.94, 1 Zn 1.98
Cs  0.8243  0.0000  0.3514  4 O 3.20-3.37
O  0.4504  0.6671  0.4204  1 Rh 1.94, 1 Zn 1.98
Rh  0.2500  0.5000  0.5000  4 O 1.94
Cs  0.1757  0.0000  0.6486  4 O 3.20-3.37
O  0.1292  0.3329  0.4204  1 Rh 1.94, 1 Zn 1.98
Rh  0.5000  0.0000  0.0000  4 O 1.94
Cs  0.9257  0.5000  0.1486  4 O 3.20-3.37
O  0.6208  0.1671  0.0796  1 Rh 1.94, 1 Zn 1.98
O  0.2121  0.1671  0.9204  1 Rh 1.94, 1 Zn 1.98
Zn  0.7500  0.5000  0.5000  4 O 1.98
O  0.2996  0.8329  0.0796  1 Rh 1.94, 1 Zn 1.98
O  0.8675  0.8329  0.9204  1 Rh 1.94, 1 Zn 1.98
Zn  0.0000  0.0000  0.0000  4 O 1.98

DFT (PBE-GGA) results for an optimized crystal structure of CsRuO3.

Summary:
SG	No. 221
final energy	-17.89	eV/f.u.
formation energy without anion corrections	686	kJ/mol of formula units

abc: 4.4082 4.4082 4.4082
angles: 90.00 90.00 90.00
Closest atoms and distances in Å follow each position.
Fractional coordinates of all 5 atoms:
O  0.0000  0.0000  0.5000  2 Cs 2.20
O  0.5000  0.0000  0.0000  2 Cs 2.20
Ru  0.5000  0.5000  0.5000  12 O 3.12
O  0.0000  0.5000  0.0000  2 Cs 2.20
Cs  0.0000  0.0000  0.0000  6 O 2.20

DFT (PBE-GGA) results for an optimized crystal structure of Cs2RuO6.

Summary:
SG	No. 12
final energy	-45.73	eV/f.u.
formation energy without anion corrections	-482	kJ/mol of formula units

abc: 3.7004 7.3691 6.8837
angles: 122.36 83.09 90.00
Closest atoms and distances in Å follow each position.
Fractional coordinates of all 9 atoms:
Cs  0.4382  0.3142  0.6284  10 O 3.11-3.41
O  0.5000  0.1712  0.0000  2 O 1.84
Cs  0.5618  0.6858  0.3716  10 O 3.11-3.41
O  0.0935  0.2920  0.2223  1 O 1.84, 1 Ru 1.92
O  0.5000  0.8288  0.0000  2 O 1.84
O  0.9065  0.7080  0.7777  1 O 1.84, 1 Ru 1.92
Ru  0.0000  0.0000  0.0000  4 O 1.92
O  0.9065  0.0697  0.7777  1 O 1.84, 1 Ru 1.92
O  0.0935  0.9303  0.2223  1 O 1.84, 1 Ru 1.92

DFT (PBE-GGA) results for an optimized crystal structure of Cs7RuO6.

Summary:
SG	No. 72
final energy	-61.05	eV/f.u.
formation energy without anion corrections	-1549	kJ/mol of formula units

abc: 7.6272 10.9593 10.9593
angles: 77.40 69.64 69.64
Closest atoms and distances in Å follow each position.
Fractional coordinates of all 28 atoms:
Cs  0.2500  0.2500  0.2500  4 O 3.02
Cs  0.9593  0.6487  0.1052  3 O 2.92-3.11
Ru  0.2500  0.7500  0.7500  4 O 1.86
Cs  0.4593  0.6052  0.1487  3 O 2.92-3.11
Cs  0.2371  0.4706  0.5294  4 O 2.89-3.18
O  0.3468  0.7206  0.8910  1 Ru 1.86
O  0.9299  0.3403  0.6597  6 Cs 2.89-3.01
O  0.0416  0.8910  0.7206  1 Ru 1.86
O  0.6532  0.2794  0.1090  1 Ru 1.86
Cs  0.2867  0.1052  0.6487  3 O 2.92-3.11
O  0.5416  0.2206  0.3910  1 Ru 1.86
O  0.9584  0.1090  0.2794  1 Ru 1.86
Cs  0.7867  0.1487  0.6052  3 O 2.92-3.11
Cs  0.0407  0.3513  0.8948  3 O 2.92-3.11
O  0.1532  0.6090  0.7794  1 Ru 1.86
Cs  0.5407  0.3948  0.8513  3 O 2.92-3.11
Cs  0.2629  0.9706  0.0294  4 O 2.89-3.18
O  0.5701  0.8403  0.1597  6 Cs 2.89-3.01
Ru  0.7500  0.2500  0.2500  4 O 1.86
O  0.0701  0.6597  0.3403  6 Cs 2.89-3.01
Cs  0.7133  0.8948  0.3513  3 O 2.92-3.11
O  0.4299  0.1597  0.8403  6 Cs 2.89-3.01
Cs  0.7500  0.7500  0.7500  4 O 3.02
O  0.4584  0.7794  0.6090  1 Ru 1.86
Cs  0.7371  0.0294  0.9706  4 O 2.89-3.18
Cs  0.7629  0.5294  0.4706  4 O 2.89-3.18
Cs  0.2133  0.8513  0.3948  3 O 2.92-3.11
O  0.8468  0.3910  0.2206  1 Ru 1.86

DFT (PBE-GGA) results for an optimized crystal structure of Cs2RuO4.

Summary:
SG	No. 139
final energy	-38.52	eV/f.u.
formation energy without anion corrections	-744	kJ/mol of formula units
polymorph energy (0 for the lowest one)	237	meV per atom

abc: 4.0344 4.0344 8.4661
angles: 76.22 76.22 90.00
Closest atoms and distances in Å follow each position.
Fractional coordinates of all 7 atoms:
Cs  0.3513  0.3513  0.2974  8 O 2.90-3.11
O  0.0000  0.5000  0.0000  2 Ru 2.02
O  0.8826  0.8826  0.2347  1 Ru 1.87
Cs  0.6487  0.6487  0.7026  8 O 2.90-3.11
O  0.5000  0.0000  0.0000  2 Ru 2.02
O  0.1174  0.1174  0.7653  1 Ru 1.87
Ru  0.0000  0.0000  0.0000  6 O 1.87-2.02

DFT (PBE-GGA) results for an optimized crystal structure of CsRuO2.

Summary:
SG	No. 166
final energy	-22.32	eV/f.u.
formation energy without anion corrections	-220	kJ/mol of formula units

abc: 7.1397 7.1397 7.1397
angles: 27.27 27.27 27.27
Closest atoms and distances in Å follow each position.
Fractional coordinates of all 4 atoms:
O  0.1282  0.1282  0.1282  3 Ru 2.10
O  0.8718  0.8718  0.8718  3 Ru 2.10
Ru  0.5000  0.5000  0.5000  6 O 2.10
Cs  0.0000  0.0000  0.0000  2 O 2.64

DFT (PBE-GGA) results for an optimized crystal structure of Cs2RuO4.

Summary:
SG	No. 62
final energy	-40.19	eV/f.u.
formation energy without anion corrections	-904	kJ/mol of formula units
polymorph energy (0 for the lowest one)	0	meV per atom

abc: 6.6107 8.6582 11.7516
angles: 90.00 90.00 90.00
Closest atoms and distances in Å follow each position.
Fractional coordinates of all 28 atoms:
Ru  0.7500  0.7762  0.4210  4 O 1.79-1.81
Cs  0.2500  0.6688  0.5807  5 O 3.02-3.32
O  0.7500  0.4830  0.0795  1 Ru 1.79
O  0.9733  0.2025  0.1481  1 Ru 1.80
O  0.0267  0.7975  0.8519  1 Ru 1.80
O  0.4733  0.7975  0.8519  1 Ru 1.80
O  0.7500  0.2026  0.9348  1 Ru 1.81
Cs  0.7500  0.5069  0.7958  7 O 3.10-3.34
Cs  0.2500  0.9931  0.2958  7 O 3.10-3.34
O  0.9733  0.7025  0.3519  1 Ru 1.80
O  0.7500  0.9830  0.4205  1 Ru 1.79
O  0.2500  0.2974  0.4348  1 Ru 1.81
Cs  0.7500  0.8312  0.0807  5 O 3.02-3.32
Cs  0.7500  0.0069  0.7042  7 O 3.10-3.34
Ru  0.2500  0.2238  0.5790  4 O 1.79-1.81
Cs  0.2500  0.4931  0.2042  7 O 3.10-3.34
O  0.5267  0.2025  0.1481  1 Ru 1.80
Ru  0.7500  0.2762  0.0790  4 O 1.79-1.81
Cs  0.7500  0.3312  0.4193  5 O 3.02-3.32
O  0.0267  0.2975  0.6481  1 Ru 1.80
O  0.7500  0.7026  0.5652  1 Ru 1.81
O  0.2500  0.0170  0.5795  1 Ru 1.79
O  0.5267  0.7025  0.3519  1 Ru 1.80
O  0.2500  0.7974  0.0652  1 Ru 1.81
Ru  0.2500  0.7238  0.9210  4 O 1.79-1.81
O  0.4733  0.2975  0.6481  1 Ru 1.80
O  0.2500  0.5170  0.9205  1 Ru 1.79
Cs  0.2500  0.1688  0.9193  5 O 3.02-3.32

DFT (PBE-GGA) results for an optimized crystal structure of Cs4RuO4.

Summary:
SG	No. 87
final energy	-43.06	eV/f.u.
formation energy without anion corrections	-1017	kJ/mol of formula units
polymorph energy (0 for the lowest one)	0	meV per atom

abc: 6.0653 6.9025 6.9025
angles: 78.87 63.94 63.94
Closest atoms and distances in Å follow each position.
Fractional coordinates of all 9 atoms:
Cs  0.3852  0.8200  0.4096  2 O 2.81-2.82
Cs  0.2052  0.4096  0.1800  2 O 2.81-2.82
O  0.9363  0.8534  0.2739  1 Ru 1.93
O  0.2103  0.7261  0.8534  1 Ru 1.93
O  0.7897  0.2739  0.1466  1 Ru 1.93
O  0.0637  0.1466  0.7261  1 Ru 1.93
Cs  0.6148  0.1800  0.5904  2 O 2.81-2.82
Cs  0.7948  0.5904  0.8200  2 O 2.81-2.82
Ru  0.0000  0.0000  0.0000  4 O 1.93

DFT (PBE-GGA) results for an optimized crystal structure of CsRuO3.

Summary:
SG	No. 221
final energy	-29.28	eV/f.u.
formation energy without anion corrections	-413	kJ/mol of formula units

abc: 4.0736 4.0736 4.0736
angles: 90.00 90.00 90.00
Closest atoms and distances in Å follow each position.
Fractional coordinates of all 5 atoms:
O  0.5000  0.0000  0.5000  2 Ru 2.04
Ru  0.5000  0.5000  0.5000  6 O 2.04
O  0.5000  0.5000  0.0000  2 Ru 2.04
Cs  0.0000  0.0000  0.0000  12 O 2.88
O  0.0000  0.5000  0.5000  2 Ru 2.04

DFT (PBE-GGA) results for an optimized crystal structure of Cs4RuO5.

Summary:
SG	No. 79
final energy	-49.65	eV/f.u.
formation energy without anion corrections	-1174	kJ/mol of formula units

abc: 6.0680 7.0211 7.0211
angles: 79.24 64.40 64.40
Closest atoms and distances in Å follow each position.
Fractional coordinates of all 10 atoms:
O  0.9365  0.2664  0.8650  1 Ru 1.93
O  0.8015  0.1350  0.2664  1 Ru 1.93
Cs  0.8132  0.8149  0.5909  4 O 2.89-3.10
O  0.0679  0.7336  0.1350  1 Ru 1.93
O  0.3683  0.0000  0.0000  1 Ru 1.82
Ru  0.0690  0.0000  0.0000  5 O 1.82-1.93
O  0.2029  0.8650  0.7336  1 Ru 1.93
Cs  0.6281  0.5909  0.1851  4 O 2.89-3.10
Cs  0.2189  0.1851  0.4091  4 O 2.89-3.10
Cs  0.4040  0.4091  0.8149  4 O 2.89-3.10

DFT (PBE-GGA) results for an optimized crystal structure of Cs2Ru2O7.

Summary:
SG	No. 12
final energy	-67.00	eV/f.u.
formation energy without anion corrections	-1162	kJ/mol of formula units

abc: 5.7718 7.2123 7.2123
angles: 107.18 85.38 85.38
Closest atoms and distances in Å follow each position.
Fractional coordinates of all 11 atoms:
Cs  0.5000  0.3041  0.6959  6 O 3.08-3.11
Ru  0.0677  0.2018  0.2018  4 O 1.77-1.82
O  0.2324  0.0959  0.3493  1 Ru 1.77
O  0.2324  0.3493  0.0959  1 Ru 1.77
Ru  0.9323  0.7982  0.7982  4 O 1.77-1.82
O  0.2015  0.6715  0.6715  1 Ru 1.77
O  0.7985  0.3285  0.3285  1 Ru 1.77
Cs  0.5000  0.6959  0.3041  6 O 3.08-3.11
O  0.0000  0.0000  0.0000  2 Ru 1.82
O  0.7676  0.9041  0.6507  1 Ru 1.77
O  0.7676  0.6507  0.9041  1 Ru 1.77

DFT (PBE-GGA) results for an optimized crystal structure of Cs2RuO3.

Summary:
SG	No. 63
final energy	-32.54	eV/f.u.
formation energy without anion corrections	-644	kJ/mol of formula units

abc: 6.0238 6.6827 6.6827
angles: 109.28 90.00 90.00
Closest atoms and distances in Å follow each position.
Fractional coordinates of all 12 atoms:
O  0.2500  0.6913  0.6913  1 Ru 1.87
O  0.5000  0.8825  0.1175  2 Ru 2.04
Ru  0.7500  0.0666  0.0666  5 O 1.87-2.04
Cs  0.7500  0.8188  0.4805  5 O 3.00-3.22
O  0.0000  0.1175  0.8825  2 Ru 2.04
Ru  0.2500  0.9334  0.9334  5 O 1.87-2.04
O  0.5000  0.1175  0.8825  2 Ru 2.04
Cs  0.2500  0.5195  0.1812  5 O 3.00-3.22
O  0.0000  0.8825  0.1175  2 Ru 2.04
O  0.7500  0.3087  0.3087  1 Ru 1.87
Cs  0.7500  0.4805  0.8188  5 O 3.00-3.22
Cs  0.2500  0.1812  0.5195  5 O 3.00-3.22

- What is the formation energy without anion corrections in the tenth record?
  -1174 kJ/mol of formula units

- The lowest formation energy without anion corrections belongs to which entry?
  Cs7RuO6